# TiCrN2F | Alexandria via LeMat-Bulk | PBE with a Hubbard U | optimized geometry
data_TiCrN2F
_chemical_formula_sum 'Ti1 Cr1 N2 F1'
_space_group_name_H-M_alt 'P 4/m m m'
_space_group_IT_number 123
_space_group_name_Hall '-P 4 2'
_cell_length_a 3.957
_cell_length_b 3.957
_cell_length_c 3.872
_cell_angle_alpha 90.00
_cell_angle_beta 90.00
_cell_angle_gamma 90.00
loop_
_atom_site_label
_atom_site_type_symbol
_atom_site_fract_x
_atom_site_fract_y
_atom_site_fract_z
Ti1 Ti 0.000 0.000 0.000
Cr1 Cr 0.500 0.500 0.500
N1 N 0.000 0.500 0.000
F1 F 0.000 0.000 0.500
# Excess energy over the best structure of this formula in the dataset, eV/atom: 0.000
# Calculated volume, Å³ per atom: 12.1
# Mass density, g cm⁻³: 4.0